Below is La4Ni2Br3 after structural relaxation, with properties calculated at the PBE level.

Cell lengths 8.1627, 8.1627, 9.1932 Å; angles 118.43, 118.43, 27.68 degrees
Fractional coordinates of all 9 atoms:
La 0.0829 0.0829 0.3884
La 0.3018 0.3018 0.8709
La 0.6982 0.6982 0.1291
La 0.9171 0.9171 0.6116
Ni 0.2916 0.2916 0.5835
Ni 0.7084 0.7084 0.4165
Br 0.0000 0.0000 0.0000
Br 0.3877 0.3877 0.2789
Br 0.6123 0.6123 0.7211

* total DFT energy (no corrections): -4.93 eV per atom
* symmetry: No. 12
* DOS(E_F): 0.693 states/eV/atom
* ΔE_f (raw): -0.895 eV/atom